1.
Compound: Dy3Ag3IrO8
Source: Alexandria via LeMat-Bulk
Functional: PBE
Structure: relaxed

Results
- Symmetry: C2/m
- Crystal system: monoclinic
- Theoretical density: 8.23 g cm⁻³
- E_tot: -6.51 eV per atom
- E_form (uncorrected): -1.781 eV per atom

a = 6.763 Å, b = 6.762 Å, c = 6.967 Å
α = 119.12°, β = 90.00°, γ = 120.01°
Last column: magnetic moment on the atom in μB.
Fractional positions:
Ag (0.000, 0.000, 0.000)  0.01
Ag (0.000, 0.500, 0.000)  0.01
Ag (0.500, 0.500, 0.000)  0.01
Dy (0.500, 0.000, 0.500)  0.01
Dy (0.500, 0.500, 0.500)  0.01
Dy (0.000, 0.500, 0.500)  0.01
O (0.786, 0.024, 0.310)  0.05
O (0.762, 0.976, 0.690)  0.05
O (0.728, 0.456, 0.684)  0.01
O (0.238, 0.024, 0.310)  0.05
O (0.786, 0.572, 0.311)  0.05
O (0.214, 0.428, 0.689)  0.05
O (0.272, 0.544, 0.316)  0.01
O (0.214, 0.976, 0.690)  0.05
Ir (0.000, 0.000, 0.500)  0.66

2.
Compound: TlH2Au2
Source: Alexandria via LeMat-Bulk
Functional: PBE
Structure: relaxed

Results
- Symmetry: P4/mbm
- Crystal system: tetragonal
- Theoretical density: 10.26 g cm⁻³
- E_tot: -2.94 eV per atom

a = 7.405 Å, b = 7.405 Å, c = 3.545 Å
α = 90.00°, β = 90.00°, γ = 90.00°
Fractional positions:
Au (0.636, 0.136, 0.000)
Au (0.136, 0.364, 0.000)
Au (0.364, 0.864, 0.000)
Au (0.864, 0.636, 0.000)
H (0.140, 0.360, 0.500)
H (0.860, 0.640, 0.500)
H (0.360, 0.860, 0.500)
H (0.640, 0.140, 0.500)
Tl (0.000, 0.000, 0.000)
Tl (0.500, 0.500, 0.000)

3.
Compound: LaMg3Co8
Source: Alexandria via LeMat-Bulk
Functional: PBE
Structure: relaxed

Results
- Energy of formation from the pure elements: -0.01 eV per atom
- Symmetry: R3m
- Crystal system: trigonal
- Theoretical density: 6.58 g cm⁻³
- E_tot: -5.56 eV per atom

a = 4.919 Å, b = 4.919 Å, c = 8.701 Å
α = 73.58°, β = 73.58°, γ = 60.00°
Last column: magnetic moment on the atom in μB.
Fractional positions:
La (0.876, 0.876, 0.373)  -0.23
Co (0.187, 0.187, 0.439)  1.28
Co (0.938, 0.938, 0.697)  1.46
Co (0.947, 0.440, 0.173)  1.44
Co (0.440, 0.440, 0.173)  1.44
Co (0.440, 0.947, 0.173)  1.44
Co (0.938, 0.427, 0.697)  1.46
Co (0.427, 0.938, 0.697)  1.46
Co (0.689, 0.689, 0.934)  1.44
Mg (0.374, 0.374, 0.878)  -0.03
Mg (0.491, 0.491, 0.528)  -0.02
Mg (0.004, 0.004, 0.988)  -0.02

4.
Compound: NpU3Si
Source: Alexandria via LeMat-Bulk
Functional: PBE
Structure: relaxed

Results
- Symmetry: Cm
- Crystal system: monoclinic
- Theoretical density: 15.89 g cm⁻³
- E_tot: -10.41 eV per atom
- E_form (uncorrected): 0.037 eV per atom

a = 4.747 Å, b = 4.747 Å, c = 4.950 Å
α = 106.12°, β = 106.12°, γ = 79.59°
Fractional positions:
U (0.819, 0.305, 0.517)
U (0.327, 0.327, 0.938)
U (0.305, 0.819, 0.517)
Np (0.691, 0.691, 0.243)
Si (0.920, 0.920, 0.909)

5.
Compound: Ca3AsH
Source: Alexandria via LeMat-Bulk
Functional: PBE
Structure: relaxed

Results
- Symmetry: P2_1/m
- Crystal system: monoclinic
- Theoretical density: 2.47 g cm⁻³
- E_tot: -3.46 eV per atom

a = 3.911 Å, b = 7.608 Å, c = 9.068 Å
α = 101.98°, β = 90.00°, γ = 90.00°
Fractional positions:
H (0.750, 0.137, 0.596)
H (0.250, 0.863, 0.404)
As (0.250, 0.322, 0.288)
As (0.750, 0.678, 0.712)
Ca (0.250, 0.945, 0.667)
Ca (0.250, 0.390, 0.635)
Ca (0.250, 0.732, 0.979)
Ca (0.750, 0.055, 0.333)
Ca (0.750, 0.268, 0.021)
Ca (0.750, 0.610, 0.365)

6.
Compound: KZn2Ag5
Source: Alexandria via LeMat-Bulk
Functional: PBE
Structure: relaxed

Results
- Energy of formation from the pure elements: 0.06 eV per atom
- Symmetry: Immm
- Crystal system: orthorhombic
- Theoretical density: 6.94 g cm⁻³
- E_tot: -2.18 eV per atom

a = 4.230 Å, b = 6.808 Å, c = 6.808 Å
α = 69.23°, β = 71.90°, γ = 71.90°
Fractional positions:
Zn (0.252, 0.248, 0.248)
Zn (0.748, 0.752, 0.752)
Ag (0.349, 0.836, 0.466)
Ag (0.349, 0.466, 0.836)
Ag (0.000, 0.500, 0.500)
Ag (0.651, 0.534, 0.164)
Ag (0.651, 0.164, 0.534)
K (0.000, 0.000, 0.000)

7.
Compound: SiPSe
Source: Alexandria via LeMat-Bulk
Functional: PBE
Structure: relaxed

Results
- Symmetry: F-43m
- Crystal system: cubic
- Theoretical density: 4.04 g cm⁻³
- E_tot: -4.21 eV per atom
- E_form (uncorrected): 0.561 eV per atom

a = 4.313 Å, b = 4.313 Å, c = 4.313 Å
α = 60.00°, β = 60.00°, γ = 60.00°
Fractional positions:
Si (0.750, 0.750, 0.750)
P (0.000, 0.000, 0.000)
Se (0.500, 0.500, 0.500)

8.
Compound: ZrPa2Co
Source: Alexandria via LeMat-Bulk
Functional: PBE
Structure: relaxed

Results
- Energy of formation from the pure elements: 0.01 eV per atom
- Symmetry: R3m
- Crystal system: trigonal
- Theoretical density: 11.46 g cm⁻³
- E_tot: -8.66 eV per atom

a = 3.406 Å, b = 3.406 Å, c = 9.044 Å
α = 79.15°, β = 79.15°, γ = 60.00°
Fractional positions:
Pa (0.066, 0.066, 0.801)
Pa (0.265, 0.265, 0.204)
Zr (0.497, 0.497, 0.509)
Co (0.671, 0.671, 0.986)

9.
Compound: CaYSe
Source: Alexandria via LeMat-Bulk
Functional: PBE
Structure: relaxed

Results
- Symmetry: P3m1
- Crystal system: trigonal
- Theoretical density: 3.82 g cm⁻³
- E_tot: -5.11 eV per atom
- E_form (uncorrected): -1.126 eV per atom

a = 3.938 Å, b = 3.938 Å, c = 6.736 Å
α = 90.00°, β = 90.00°, γ = 120.00°
Last column: magnetic moment on the atom in μB.
Fractional positions:
Se (0.667, 0.333, 0.338)  0.00
Y (0.333, 0.667, 0.601)  0.30
Ca (0.000, 0.000, 0.061)  0.02

10.
Compound: NpTl2S3
Source: Alexandria via LeMat-Bulk
Functional: PBE
Structure: relaxed

Results
- Symmetry: C2/c
- Crystal system: monoclinic
- Theoretical density: 7.56 g cm⁻³
- E_tot: -5.80 eV per atom
- E_form (uncorrected): -0.794 eV per atom

a = 6.915 Å, b = 7.382 Å, c = 7.382 Å
α = 110.64°, β = 102.53°, γ = 102.53°
Last column: magnetic moment on the atom in μB.
Fractional positions:
Tl (0.750, 0.074, 0.926)  -0.01
Tl (0.750, 0.768, 0.232)  -0.01
Tl (0.250, 0.926, 0.074)  -0.01
Tl (0.250, 0.232, 0.768)  -0.01
Np (0.250, 0.593, 0.407)  3.34
Np (0.750, 0.407, 0.593)  3.34
S (0.497, 0.392, 0.256)  -0.12
S (0.000, 0.500, 0.000)  -0.09
S (0.500, 0.000, 0.500)  -0.09
S (0.503, 0.608, 0.744)  -0.12
S (0.997, 0.256, 0.392)  -0.12
S (0.003, 0.744, 0.608)  -0.12

11.
Compound: Ac6Tl5Bi
Source: Alexandria via LeMat-Bulk
Functional: PBE
Structure: relaxed

Results
- Energy of formation from the pure elements: -0.42 eV per atom
- Symmetry: C2/m
- Crystal system: monoclinic
- Theoretical density: 10.09 g cm⁻³
- E_tot: -3.78 eV per atom

a = 5.887 Å, b = 10.194 Å, c = 10.194 Å
α = 120.79°, β = 106.75°, γ = 106.75°
Fractional positions:
Ac (0.746, 0.246, 0.246)
Ac (0.752, 0.918, 0.587)
Ac (0.248, 0.413, 0.082)
Ac (0.248, 0.082, 0.413)
Ac (0.254, 0.754, 0.754)
Ac (0.752, 0.587, 0.918)
Tl (0.500, 0.174, 0.826)
Tl (0.000, 0.335, 0.665)
Tl (0.500, 0.826, 0.174)
Tl (0.000, 0.665, 0.335)
Tl (0.500, 0.500, 0.500)
Bi (0.000, 0.000, 0.000)

no.,N(E_F) (states/eV/cell)
1,7.975
2,2.141
3,15.887
4,11.268
5,1.960
6,4.066
7,1.744
8,5.772
9,2.158
10,21.136
11,8.424